Record 1
Compound: K3Tc2HgO8
Source: Alexandria via LeMat-Bulk
Functional: GGA-PBE
Structure: relaxed

a b c (Å): 6.0878 6.0878 10.1343
angles (deg): 90.00 90.00 120.00
Space group P-3m1 (No. 164)
Unique sites:
K1 0.0000 0.0000 0.0000 (multiplicity 1)
K2 0.3333 0.6667 0.7274 (multiplicity 2)
Tc1 0.3333 0.6667 0.1573 (multiplicity 2)
Hg1 0.0000 0.0000 0.5000 (multiplicity 1)
O1 0.1761 0.3522 0.2173 (multiplicity 6)
O2 0.3333 0.6667 0.9829 (multiplicity 2)

## Properties
N(E_F)	7.78	states/eV/f.u.
energy relative to the elements, uncorrected	-1.514	eV per atom

=====

Record 2
Compound: KTcHgO4
Source: Alexandria via LeMat-Bulk
Functional: GGA-PBE
Structure: relaxed

a b c (Å): 7.117 6.445 8.574
angles (deg): 90.00 107.58 90.00
Space group P2_1/m (No. 11)
Unique sites:
K1 0.173 0.250 0.401 (multiplicity 2)
Tc1 0.346 0.750 0.647 (multiplicity 2)
Hg1 0.079 0.750 0.071 (multiplicity 2)
O1 0.204 0.532 0.654 (multiplicity 4)
O2 0.404 0.750 0.463 (multiplicity 2)
O3 0.433 0.250 0.195 (multiplicity 2)

## Properties
N(E_F)	0.00	states/eV/f.u.
energy relative to the elements, uncorrected	-1.376	eV per atom

=====

Record 3
Compound: KTc2HgO8
Source: Alexandria via LeMat-Bulk
Functional: GGA-PBE
Structure: relaxed

a b c (Å): 11.284 6.175 6.859
angles (deg): 90.00 111.61 90.00
Space group C2/m (No. 12)
Unique sites:
K1 0.000 0.000 0.000 (multiplicity 2)
Tc1 0.207 0.000 0.682 (multiplicity 4)
Hg1 0.000 0.500 0.500 (multiplicity 2)
O1 0.126 0.500 0.222 (multiplicity 4)
O2 0.145 0.232 0.759 (multiplicity 8)
O3 0.154 0.000 0.409 (multiplicity 4)

## Properties
N(E_F)	4.64	states/eV/f.u.
energy relative to the elements, uncorrected	-1.313	eV per atom

=====

Record 4
Compound: KHg2TeO4
Source: Alexandria via LeMat-Bulk
Functional: GGA-PBE
Structure: relaxed

a b c (Å): 8.691 12.213 7.073
angles (deg): 90.00 124.76 90.00
Space group C2/c (No. 15)
Unique sites:
K1 0.250 0.250 0.000 (multiplicity 4)
Hg1 0.000 0.000 0.000 (multiplicity 4)
Hg2 0.250 0.250 0.500 (multiplicity 4)
Te1 0.000 0.500 0.000 (multiplicity 4)
O1 0.071 0.329 0.553 (multiplicity 8)
O2 0.216 0.049 0.821 (multiplicity 8)

## Properties
N(E_F)	1.02	states/eV/f.u.
energy relative to the elements, uncorrected	-0.721	eV per atom

=====

Record 5
Compound: K3HgTe2O9
Source: Alexandria via LeMat-Bulk
Functional: GGA-PBE
Structure: relaxed

a b c (Å): 5.8777 5.8777 7.4260
angles (deg): 90.00 90.00 120.00
Space group P-3m1 (No. 164)
Unique sites:
K1 0.0000 0.0000 0.0000 (multiplicity 1)
K2 0.3333 0.6667 0.6605 (multiplicity 2)
Hg1 0.0000 0.0000 0.5000 (multiplicity 1)
Te1 0.3333 0.6667 0.1622 (multiplicity 2)
O1 0.0000 0.5000 0.0000 (multiplicity 3)
O2 0.1757 0.3514 0.2998 (multiplicity 6)

## Properties
N(E_F)	10.15	states/eV/f.u.
energy relative to the elements, uncorrected	-1.000	eV per atom

=====

Record 6
Compound: K2Hg2TeO6
Source: Alexandria via LeMat-Bulk
Functional: GGA-PBE
Structure: relaxed

a b c (Å): 6.202 9.915 6.697
angles (deg): 90.00 112.40 90.00
Space group C2/m (No. 12)
Unique sites:
K1 0.000 0.182 0.000 (multiplicity 4)
Hg1 0.000 0.334 0.500 (multiplicity 4)
Te1 0.000 0.000 0.500 (multiplicity 2)
O1 0.191 0.141 0.695 (multiplicity 8)
O2 0.215 0.000 0.338 (multiplicity 4)

## Properties
energy relative to the elements, uncorrected	-0.985	eV per atom

=====

Record 7
Compound: KTiHg2O4
Source: Alexandria via LeMat-Bulk
Functional: GGA-PBE
Structure: relaxed

a b c (Å): 5.782 5.782 8.604
angles (deg): 90.00 90.00 90.00
Space group I-42m (No. 121)
Unique sites:
K1 0.000 0.000 0.000 (multiplicity 2)
Ti1 0.000 0.000 0.500 (multiplicity 2)
Hg1 0.000 0.500 0.250 (multiplicity 4)
O1 0.187 0.187 0.621 (multiplicity 8)

## Properties
N(E_F)	0.59	states/eV/f.u.
energy relative to the elements, uncorrected	-1.475	eV per atom

=====

Record 8
Compound: K2TiHgO4
Source: Alexandria via LeMat-Bulk
Functional: GGA-PBE
Structure: relaxed

a b c (Å): 8.613 7.656 6.052
angles (deg): 90.00 133.06 90.00
Space group C2 (No. 5)
Unique sites:
K1 0.000 0.000 0.000 (multiplicity 2)
K2 0.000 0.239 0.500 (multiplicity 2)
Ti1 0.000 0.715 0.500 (multiplicity 2)
Hg1 0.000 0.522 0.000 (multiplicity 2)
O1 0.151 0.567 0.450 (multiplicity 4)
O2 0.193 0.839 0.842 (multiplicity 4)

## Properties
N(E_F)	0.00	states/eV/f.u.
energy relative to the elements, uncorrected	-1.857	eV per atom

=====

no.,electronic total energy (eV/atom)
1,-6.08
2,-5.89
3,-6.46
4,-3.81
5,-4.63
6,-4.23
7,-5.15
8,-5.63